# 1
# HgSbPb2

HgSbPb2 after structural relaxation (PBE, Alexandria).

## Properties
total magnetization: 0.00 μB per formula unit
ΔE_f (raw): 5.21 kJ/mol of atoms
ΔE to the lowest computed polymorph: 0.0333 eV/atom
N(E_F): 0.48 states/eV/atom

Cell: 10.517 3.344 6.835 Å, 90.00 95.18 90.00°
Space group C2/m (No. 12)
Symmetry-distinct sites (fractional):
Hg (0.000, 0.000, 0.000) (multiplicity 2)
Sb (0.000, 0.500, 0.500) (multiplicity 2)
Pb (0.246, 0.000, 0.750) (multiplicity 4)

***

# 2
# HgSb2Pb

HgSb2Pb after structural relaxation (PBE, Alexandria).

## Properties
total magnetization: 0.00 μB per formula unit
ΔE_f (raw): 9.11 kJ/mol of atoms
ΔE to the lowest computed polymorph: 0.0088 eV/atom
N(E_F): 0.23 states/eV/atom

Cell: 4.9178 4.9178 20.3051 Å, 90.00 90.00 120.00°
Space group R3m (No. 160, hexagonal axes)
Symmetry-distinct sites (fractional):
Hg (0.0000, 0.0000, 0.0000) (multiplicity 3)
Sb (0.0000, 0.0000, 0.1870) (multiplicity 3)
Sb (0.0000, 0.0000, 0.3293) (multiplicity 3)
Pb (0.0000, 0.0000, 0.7914) (multiplicity 3)

***

# 3
# Hg3SbPb8

Hg3SbPb8 after structural relaxation (PBE, Alexandria).

## Properties
total magnetization: 0.00 μB per formula unit
ΔE_f (raw): 7.57 kJ/mol of atoms
N(E_F): 0.37 states/eV/atom

Cell: 10.527 10.243 8.910 Å, 90.00 123.88 90.00°
Space group C2/m (No. 12)
Symmetry-distinct sites (fractional):
Hg (0.000, 0.000, 0.000) (multiplicity 2)
Hg (0.000, 0.251, 0.500) (multiplicity 4)
Sb (0.000, 0.500, 0.000) (multiplicity 2)
Pb (0.120, 0.000, 0.746) (multiplicity 4)
Pb (0.131, 0.500, 0.747) (multiplicity 4)
Pb (0.132, 0.246, 0.258) (multiplicity 8)

***

# 4
# Hg2SbPb

Hg2SbPb after structural relaxation (PBE, Alexandria).

## Properties
total magnetization: 0.00 μB per formula unit
ΔE_f (raw): 6.34 kJ/mol of atoms
N(E_F): 0.19 states/eV/atom

Cell: 4.211 5.278 10.320 Å, 90.00 90.00 90.00°
Space group Cmm2 (No. 35)
Symmetry-distinct sites (fractional):
Hg (0.000, 0.000, 0.000) (multiplicity 2)
Hg (0.000, 0.500, 0.237) (multiplicity 2)
Sb (0.000, 0.500, 0.742) (multiplicity 2)
Pb (0.000, 0.000, 0.501) (multiplicity 2)

***

Q: Which of these has the highest ΔE_f (raw)?
A: HgSb2Pb